No. 1
{
  "formula": "SbAs2Se",
  "functional": "PBE",
  "state": "optimized geometry",
  "spacegroup": "P4/mmm, No. 123",
  "formation_energy_uncorrected_ev_per_atom": 0.385,
  "lattice": [[4.986, 0.000, 0.000], [0.000, 4.986, 0.000], [0.000, 0.000, 3.449]],
  "species": ["Sb", "As", "As", "Se"],
  "fractional_positions": [[0.000, 0.000, 0.000], [0.000, 0.500, 0.500], [0.500, 0.000, 0.500], [0.500, 0.500, 0.000]]
}

No. 2
{
  "formula": "Th4AsP2C",
  "functional": "PBE",
  "state": "optimized geometry",
  "spacegroup": "I-42m, No. 121",
  "lattice": [[-3.682, 3.682, 3.676], [3.682, -3.682, 3.676], [3.682, 3.682, -3.676]],
  "species": ["Th", "Th", "Th", "Th", "As", "P", "P", "C"],
  "fractional_positions": [[0.121, 0.674, 0.000], [0.326, 0.326, 0.447], [0.674, 0.121, 0.000], [0.879, 0.879, 0.553], [0.500, 0.500, 0.000], [0.250, 0.750, 0.500], [0.750, 0.250, 0.500], [0.000, 0.000, 0.000]]
}

No. 3
{
  "formula": "Mn2PdAu8",
  "functional": "PBE",
  "state": "optimized geometry",
  "spacegroup": "C2/m, No. 12",
  "lattice": [[6.227, -3.680, 0.000], [6.227, 3.680, 0.000], [-1.114, 0.000, 4.634]],
  "species": ["Mn", "Mn", "Pd", "Au", "Au", "Au", "Au", "Au", "Au", "Au", "Au"],
  "fractional_positions": [[0.122, 0.122, 0.023], [0.878, 0.878, 0.977], [0.000, 0.000, 0.500], [0.226, 0.226, 0.583], [0.233, 0.623, 0.713], [0.351, 0.351, 0.159], [0.377, 0.767, 0.287], [0.623, 0.233, 0.713], [0.649, 0.649, 0.841], [0.767, 0.377, 0.287], [0.774, 0.774, 0.417]]
}

No. 4
{
  "formula": "Tl2AgP",
  "functional": "PBE",
  "state": "optimized geometry",
  "spacegroup": "P2/m, No. 10",
  "lattice": [[4.801, 0.000, 0.000], [0.000, 4.270, 0.000], [-2.252, 0.000, 5.966]],
  "species": ["Tl", "Tl", "Ag", "P"],
  "fractional_positions": [[0.163, 0.000, 0.322], [0.837, 0.000, 0.678], [0.500, 0.500, 0.000], [0.000, 0.500, 0.000]]
}

In the order shown, the computed energy values come out to -3.84; -7.51; -4.44; -3.10 eV per atom.